# NiPtPb2O6

A geometry-optimized NiPtPb2O6 structure (GGA+U, Alexandria).

D(E_F), states/eV per cell: 2.43
Total energy, eV for the cell shown: -53.9

a b c (Å): 5.6424 5.6423 5.7581
angles (deg): 60.66 60.65 60.00
Last column: nearest neighbours and their distance in Å.
Fractional coordinates of all 10 atoms:
O1 0.5890 0.1526 0.2606  1 Pt 2.02, 1 Ni 2.22
O2 0.6745 0.0906 0.7817  1 Pt 2.07, 1 Ni 2.07, 1 Pb 2.30
O3 0.9978 0.5891 0.2606  1 Pt 2.02, 1 Ni 2.22
O4 0.1525 0.9978 0.2605  1 Pt 2.02, 1 Ni 2.22
O5 0.4532 0.6744 0.7817  1 Pt 2.07, 1 Ni 2.07, 1 Pb 2.30
O6 0.0906 0.4532 0.7817  1 Pt 2.07, 1 Ni 2.07, 1 Pb 2.30
Pb1 0.5493 0.5493 0.3521  6 O 2.42-2.63
Pb2 0.0265 0.0265 0.9205  6 O 2.30
Pt1 0.3200 0.3200 0.0400  6 O 2.02-2.07
Ni1 0.8081 0.8081 0.5758  6 O 2.07-2.22